1.
Below is crystalline CeAg3Bi3 at its relaxed geometry, with properties calculated at the PBE level.

```
data_CeAg3Bi3
_chemical_formula_sum 'Ce2 Ag6 Bi6'
_cell_length_a 7.806
_cell_length_b 7.806
_cell_length_c 7.806
_cell_angle_alpha 90.00
_cell_angle_beta 90.00
_cell_angle_gamma 90.00
_symmetry_space_group_name_H-M 'P m -3 n'
_symmetry_Int_Tables_number 223
_symmetry_space_group_name_Hall '-P 4n 2 3'
loop_
_atom_site_label
_atom_site_type_symbol
_atom_site_fract_x
_atom_site_fract_y
_atom_site_fract_z
Ce1 Ce 0.000 0.000 0.000
Ag1 Ag 0.000 0.250 0.500
Bi1 Bi 0.000 0.500 0.250
```

Formation energy from the elements in meV/atom: 322
Final energy in eV per cell: -47.7
Crystal system: cubic
Calculated density in g/cm3: 7.62

***

2.
Below is crystalline Ce2AgBi4 at its relaxed geometry, with properties calculated at the PBE level.

```
data_Ce2AgBi4
_chemical_formula_sum 'Ce2 Ag1 Bi4'
_cell_length_a 4.606
_cell_length_b 4.606
_cell_length_c 9.900
_cell_angle_alpha 90.00
_cell_angle_beta 90.00
_cell_angle_gamma 90.00
_symmetry_space_group_name_H-M 'P -4 m 2'
_symmetry_Int_Tables_number 115
_symmetry_space_group_name_Hall 'P -4 -2'
loop_
_atom_site_label
_atom_site_type_symbol
_atom_site_fract_x
_atom_site_fract_y
_atom_site_fract_z
Ce1 Ce 0.000 0.500 0.238
Ag1 Ag 0.500 0.500 0.000
Bi1 Bi 0.000 0.000 0.500
Bi2 Bi 0.000 0.500 0.826
Bi3 Bi 0.500 0.500 0.500
```

Formation energy from the elements in meV/atom: -501
Final energy in eV per cell: -33.7
Crystal system: tetragonal
Calculated density in g/cm3: 9.68

***

Q: Which formula does entry 1 have?
A: CeAg3Bi3

***

Q: Which value of calculated density does entry 1 give?
A: 7.62 g/cm3

***

Copy entry 1 word for word.
Below is crystalline CeAg3Bi3 at its relaxed geometry, with properties calculated at the PBE level.

```
data_CeAg3Bi3
_chemical_formula_sum 'Ce2 Ag6 Bi6'
_cell_length_a 7.806
_cell_length_b 7.806
_cell_length_c 7.806
_cell_angle_alpha 90.00
_cell_angle_beta 90.00
_cell_angle_gamma 90.00
_symmetry_space_group_name_H-M 'P m -3 n'
_symmetry_Int_Tables_number 223
_symmetry_space_group_name_Hall '-P 4n 2 3'
loop_
_atom_site_label
_atom_site_type_symbol
_atom_site_fract_x
_atom_site_fract_y
_atom_site_fract_z
Ce1 Ce 0.000 0.000 0.000
Ag1 Ag 0.000 0.250 0.500
Bi1 Bi 0.000 0.500 0.250
```

Formation energy from the elements in meV/atom: 322
Final energy in eV per cell: -47.7
Crystal system: cubic
Calculated density in g/cm3: 7.62